# 1
## Np4U2Ga3 (PBE-GGA)

Data for crystalline Np4U2Ga3 at its relaxed geometry.

The calculation puts the total energy at -9.359 eV per atom.

a = 4.469 Å, b = 5.518 Å, c = 8.271 Å
α = 72.14°, β = 89.99°, γ = 66.11°
Atoms (fractional coordinates):
1 U 0.697 0.607 0.663
2 U 0.303 0.393 0.337
3 Np 0.061 0.878 0.649
4 Np 0.308 0.383 0.039
5 Np 0.692 0.617 0.961
6 Np 0.939 0.122 0.351
7 Ga 0.000 0.000 0.000
8 Ga 0.600 0.801 0.273
9 Ga 0.400 0.199 0.727

# 2
## KLi2Ta (PBE-GGA)

Data for crystalline KLi2Ta at its relaxed geometry.

The value obtained for the relative energy among the computed polymorphs is 432 meV/atom.

a = 2.774 Å, b = 6.229 Å, c = 5.825 Å
α = 90.00°, β = 90.00°, γ = 90.00°
Atoms (fractional coordinates):
1 Ta 0.500 0.000 0.500
2 K 0.000 0.500 0.500
3 Li 0.000 0.000 0.000
4 Li 0.500 0.500 0.000

# 3
## CdCoRh2 (PBE-GGA)

Data for crystalline CdCoRh2 at its relaxed geometry.

The value obtained for the relative energy among the computed polymorphs is 60 meV/atom.

a = 8.948 Å, b = 8.948 Å, c = 8.948 Å
α = 17.98°, β = 17.98°, γ = 17.98°
Atoms (fractional coordinates):
1 Rh 0.008 0.008 0.008
2 Rh 0.492 0.492 0.492
3 Cd 0.250 0.250 0.250
4 Co 0.750 0.750 0.750

# 4
## PuTl3O6 (PBE-GGA)

Data for crystalline PuTl3O6 at its relaxed geometry.

The value obtained for the relative energy among the computed polymorphs is 58 meV/atom. As for the formation energy from raw total energies: -13.4 eV per formula unit.

a = 7.069 Å, b = 7.069 Å, c = 7.069 Å
α = 90.98°, β = 90.98°, γ = 90.98°
Atoms (fractional coordinates):
1 O 0.289 0.017 0.991
2 O 0.017 0.991 0.289
3 O 0.711 0.983 0.009
4 O 0.399 0.705 0.673
5 O 0.673 0.399 0.705
6 O 0.705 0.673 0.399
7 O 0.327 0.601 0.295
8 O 0.295 0.327 0.601
9 O 0.009 0.711 0.983
10 O 0.991 0.289 0.017
11 O 0.601 0.295 0.327
12 O 0.983 0.009 0.711
13 Tl 0.731 0.004 0.470
14 Tl 0.996 0.530 0.269
15 Tl 0.470 0.731 0.004
16 Tl 0.004 0.470 0.731
17 Tl 0.269 0.996 0.530
18 Tl 0.530 0.269 0.996
19 Pu 0.000 0.000 0.000
20 Pu 0.500 0.500 0.500

# 5
## CsMnC3 (PBE-GGA)

Data for crystalline CsMnC3 at its relaxed geometry.

The calculation puts the total energy at -2.855 eV per atom.

a = 4.463 Å, b = 4.463 Å, c = 4.463 Å
α = 90.00°, β = 90.00°, γ = 90.00°
Atoms (fractional coordinates):
1 C 0.000 0.000 0.500
2 C 0.500 0.000 0.000
3 C 0.000 0.500 0.000
4 Cs 0.000 0.000 0.000
5 Mn 0.500 0.500 0.500

# 6
## NbSnC3 (PBE-GGA)

Data for crystalline NbSnC3 at its relaxed geometry.

The value obtained for the relative energy among the computed polymorphs is 0 meV/atom.

a = 4.262 Å, b = 4.262 Å, c = 4.262 Å
α = 90.00°, β = 90.00°, γ = 90.00°
Atoms (fractional coordinates):
1 C 0.000 0.000 0.500
2 C 0.500 0.000 0.000
3 C 0.000 0.500 0.000
4 Nb 0.000 0.000 0.000
5 Sn 0.500 0.500 0.500

# 7
## TbTcAs2 (PBE-GGA)

Data for crystalline TbTcAs2 at its relaxed geometry.

The value obtained for the relative energy among the computed polymorphs is 191 meV/atom.

a = 4.680 Å, b = 4.680 Å, c = 4.680 Å
α = 60.00°, β = 60.00°, γ = 60.00°
Atoms (fractional coordinates):
1 As 0.750 0.750 0.750
2 As 0.250 0.250 0.250
3 Tb 0.000 0.000 0.000
4 Tc 0.500 0.500 0.500

# 8
## SrZrAl2 (PBE-GGA)

Data for crystalline SrZrAl2 at its relaxed geometry.

The value obtained for the relative energy among the computed polymorphs is 662 meV/atom.

a = 4.976 Å, b = 4.976 Å, c = 10.484 Å
α = 76.27°, β = 76.27°, γ = 90.00°
Atoms (fractional coordinates):
1 Al 0.764 0.125 0.250
2 Al 0.875 0.014 0.750
3 Al 0.375 0.236 0.750
4 Al 0.986 0.625 0.250
5 Sr 0.250 0.750 0.500
6 Sr 0.500 0.500 0.000
7 Zr 0.750 0.250 0.500
8 Zr 0.000 0.000 0.000

DOS(E_F): 18.30; 4.24; 3.13; 7.48; 5.23; 4.37; 0.63; 5.81 (states/eV per cell)
Total magnetic moment: 0.000; 0.152; 0.829; 0.157; 0.054; 0.000; 0.000; 0.042 (μB per atom)